CaHoMn2O6: optimized geometry, GGA+U.

Geometry as POSCAR:
```
CaHoMn2O6
1.0
7.5537 0.0000 0.0000
0.0000 5.5550 0.0000
0.0000 0.0000 5.3396
Ca Ho Mn O
2 2 4 12
Cartesian
0.0000 1.0914 0.0000
3.7769 4.4637 2.6698
0.0000 3.8007 2.8287
3.7769 1.7543 0.1589
1.8895 1.3655 2.7347
1.8873 4.1896 0.0649
5.6642 1.3655 2.7347
5.6664 4.1896 0.0649
0.0000 1.5773 2.2670
0.0000 4.3190 0.6257
1.5010 5.2554 3.7725
1.5254 2.5568 4.2865
2.2515 2.9983 1.6167
2.2759 0.2996 1.1027
3.7769 1.2360 3.2955
3.7769 3.9778 4.9368
5.2779 0.2996 1.1027
5.3022 2.9983 1.6167
6.0284 2.5568 4.2865
6.0527 5.2554 3.7725
```

Calculated values
- ρ (g cm⁻³) = 6.090
- total moment (μB per atom) = 0.70

***

Ca3HoMn4O12: optimized geometry, GGA+U.

Geometry as POSCAR:
```
Ca3HoMn4O12
1.0
5.3344 0.0000 0.0000
0.0000 7.5800 0.0000
-0.0262 0.0000 5.4708
Ca Ho Mn O
3 1 4 12
Cartesian
0.0000 0.0000 0.0000
0.1237 3.7900 0.5504
2.7726 0.0000 2.7475
2.6483 3.7900 3.3446
0.0423 1.8876 3.0044
0.0423 5.6924 3.0044
2.7406 1.8857 0.2929
2.7406 5.6944 0.2929
0.4811 0.0000 3.1495
1.1849 2.2886 4.5638
1.1849 5.2914 4.5638
1.6547 2.2682 1.9022
1.6547 5.3118 1.9022
2.2822 0.0000 0.3959
3.1740 3.7900 0.1279
3.7804 1.6288 4.1147
3.7804 5.9512 4.1147
4.3177 1.5728 1.3913
4.3177 6.0072 1.3913
4.8774 3.7900 2.8872
```

Calculated values
- ρ (g cm⁻³) = 5.231
- total moment (μB per atom) = 0.65

***

Result set for uncorrected energy: -7.497, -7.229 eV per atom, one per record in the order listed.